Below is a relaxed structure of CaTa2In, with properties calculated at the GGA-PBE level. Values from VASP.

- DOS at the Fermi energy: 3.91 states/eV/cell
- Energy of formation: 0.4082 eV per atom
- Magnetic moment: 0.000 μB/atom
- Space-group type: C2/m, No. 12

```
&SYSTEM
  ibrav = 0, nat = 4, ntyp = 3
/
ATOMIC_SPECIES
Ca 40.08 Ca.upf
In 114.82 In.upf
Ta 180.95 Ta.upf
CELL_PARAMETERS angstrom
5.753 -0.002 -0.021
4.980 2.881 -0.021
1.073 0.288 5.223
ATOMIC_POSITIONS crystal
Ca 0.750 0.750 0.750
In 0.250 0.250 0.250
Ta 0.980 0.980 0.021
Ta 0.520 0.520 0.479
```